GaSi2As | PBE | relaxed

- Energy relative to the lowest polymorph listed for this composition: 0.444 eV per atom
- E_form (uncorrected): 0.474 eV/atom
- Total magnetization: 0.00 Bohr magnetons per cell

Cell lengths 4.5859, 4.5859, 4.5859 Å; angles 60.00, 60.00, 60.00 degrees
With the nearest neighbours (Å) after each atom.
Atoms (fractional coordinates):
As: 0.5000 0.5000 0.5000  8 Si 2.81
Si: 0.7500 0.7500 0.7500  4 Ga 2.81, 4 As 2.81
Si: 0.2500 0.2500 0.2500  4 As 2.81, 4 Ga 2.81
Ga: 0.0000 0.0000 0.0000  8 Si 2.81